(1)
Computed, not measured: an optimized crystal structure of Dy2YCd at the PBE level of DFT.

Output
space group = P4/mmm, No. 123
E above lowest polymorph = 5 kJ/mol of formula units

```
Dy2YCd
1.0
3.595 0.000 0.000
0.000 3.595 0.000
0.000 0.000 9.049
Y Dy Cd
1 2 1
Direct
0.500 0.500 0.500
0.000 0.000 0.774
0.000 0.000 0.226
0.500 0.500 0.000
```


(2)
Computed, not measured: an optimized crystal structure of Dy4YCd at the PBE level of DFT.

Output
space group = P4/mmm, No. 123
E above lowest polymorph = 0 kJ/mol of formula units

```
Dy4YCd
1.0
-3.089 0.941 -1.502
-1.610 -0.227 3.169
2.949 13.627 2.474
Dy Y Cd
4 1 1
Direct
0.000 0.000 0.647
0.000 0.000 0.353
0.500 0.500 0.822
0.500 0.500 0.178
0.000 0.000 0.000
0.500 0.500 0.500
```


(3)
Computed, not measured: an optimized crystal structure of DyYCd at the PBE level of DFT.

Output
space group = I4mm, No. 107
E above lowest polymorph = 0 kJ/mol of formula units

```
DyYCd
1.0
-0.419 -0.340 -3.582
-3.379 -1.201 0.509
-0.321 6.877 1.216
Dy Y Cd
1 1 1
Direct
0.322 0.322 0.644
0.011 0.011 0.022
0.667 0.667 0.334
```


(4)
Computed, not measured: an optimized crystal structure of Dy3YCd4 at the PBE level of DFT.

Output
space group = P4/mmm, No. 123

```
Dy3YCd4
1.0
5.278 0.000 0.000
0.000 7.542 0.000
0.000 0.000 10.560
Dy Cd Y
6 8 2
Direct
0.500 0.000 0.750
0.000 0.000 0.000
0.500 0.000 0.250
0.500 0.500 0.750
0.000 0.000 0.500
0.500 0.500 0.250
0.500 0.751 0.000
0.000 0.750 0.750
0.000 0.250 0.250
0.000 0.250 0.750
0.500 0.751 0.500
0.000 0.750 0.250
0.500 0.249 0.000
0.500 0.249 0.500
0.000 0.500 0.000
0.000 0.500 0.500
```


(5)
Computed, not measured: an optimized crystal structure of DyY2Cd2 at the PBE level of DFT.

Output
space group = Immm, No. 71
E above lowest polymorph = 44 kJ/mol of formula units

```
DyY2Cd2
1.0
-4.478 2.110 0.745
-2.006 -0.285 5.569
0.150 5.385 2.470
Dy Y Cd
1 2 2
Direct
0.000 0.000 0.000
0.801 0.699 0.699
0.199 0.301 0.301
0.500 0.710 0.290
0.500 0.290 0.710
```


(6)
Computed, not measured: an optimized crystal structure of DyY3Cd6 at the PBE level of DFT.

Output
space group = P2_1/m, No. 11

```
DyY3Cd6
1.0
-0.281 -2.270 4.639
-6.552 -5.599 -3.137
9.578 -5.183 -1.955
Cd Y Dy
12 6 2
Direct
0.750 0.855 0.807
0.250 0.145 0.193
0.250 0.052 0.897
0.750 0.341 0.294
0.750 0.549 0.906
0.750 0.760 0.504
0.250 0.659 0.706
0.250 0.852 0.306
0.250 0.451 0.094
0.250 0.240 0.496
0.750 0.148 0.694
0.750 0.948 0.103
0.750 0.650 0.208
0.250 0.350 0.792
0.750 0.239 0.999
0.750 0.471 0.607
0.250 0.761 0.001
0.250 0.529 0.393
0.250 0.944 0.606
0.750 0.056 0.394
```


| no. | formation energy from the elements (eV/atom) |
| --- | --- |
| 1 | -0.14 |
| 2 | -0.09 |
| 3 | -0.20 |
| 4 | -0.33 |
| 5 | -0.18 |
| 6 | -0.31 |